Entry 1:
Computed, not measured: a relaxed structure of Cr2GaH2 at the PBE level of DFT.

Lattice parameters (Å, degrees): 3.0176 3.0176 5.1592 73.00 73.00 90.00
Last column: nearest neighbours and their distance in Å.
Element x y z (fractional)
Cr  0.3407  0.3407  0.3186  4 H 1.73
Cr  0.6593  0.6593  0.6814  4 H 1.73
Ga  0.0000  0.0000  0.0000  8 Cr 2.61, 8 H 2.79
H  0.2500  0.7500  0.5000  4 Cr 1.73
H  0.7500  0.2500  0.5000  4 Cr 1.73

Values from the calculation:
total energy	-28.83	eV/cell
calculated volume	8.55	Å³/atom
calculated density	6.8	Mg/m³
magnetic moment	0.00	Bohr magnetons per cell
DOS at the Fermi energy	3.02	states/eV/cell


Entry 2:
Computed, not measured: a relaxed structure of Ca3NF at the PBE level of DFT.

Lattice parameters (Å, degrees): 4.8587 4.8587 4.8587 90.00 90.00 90.00
Last column: nearest neighbours and their distance in Å.
Element x y z (fractional)
F  0.5000  0.5000  0.5000  12 Ca 3.44
Ca  0.0000  0.0000  0.5000  2 N 2.43
Ca  0.5000  0.0000  0.0000  2 N 2.43
Ca  0.0000  0.5000  0.0000  2 N 2.43
N  0.0000  0.0000  0.0000  6 Ca 2.43

Values from the calculation:
relative energy among the computed polymorphs	0.296	eV per atom
calculated volume	22.94	Å³/atom
calculated density	2.2	Mg/m³
magnetic moment	0.00	Bohr magnetons per cell
DOS at the Fermi energy	3.25	states/eV/cell
energy relative to the elements, uncorrected	-1024.6	meV per atom


Entry 3:
Computed, not measured: a relaxed structure of VAs4Pd2 at the PBE level of DFT.

Lattice parameters (Å, degrees): 4.7988 4.7988 7.0416 70.08 70.08 90.00
Last column: nearest neighbours and their distance in Å.
Element x y z (fractional)
As  0.8063  0.8063  0.3874  1 Pd 2.39, 1 V 2.39
As  0.0000  0.5000  0.0000  2 V 2.40
As  0.5000  0.0000  0.0000  2 V 2.40
As  0.1937  0.1937  0.6126  1 Pd 2.39, 1 V 2.39
Pd  0.6127  0.6127  0.7746  1 As 2.39
Pd  0.3873  0.3873  0.2254  1 As 2.39
V  0.0000  0.0000  0.0000  6 As 2.39-2.40

Values from the calculation:
energy of formation from the pure elements	0.15	eV per atom
calculated volume	20.30	Å³/atom
calculated density	6.6	Mg/m³
magnetic moment	0.00	Bohr magnetons per cell
DOS at the Fermi energy	4.99	states/eV/cell


- What is the magnetic moment in the third record?
  0.00 Bohr magnetons per cell